Record 1
A plane-wave DFT calculation with GGA-PBE was carried out for a relaxed MnIrRhS crystal.

Results
**Offset from the most stable computed form**: 50 meV/atom
**Energy relative to the elements, uncorrected**: -0.04 eV per atom

Cell: 10.399 2.857 3.776 Å, 90.00 96.68 90.00°
Space group Cm (No. 8)
Symmetry-distinct sites (fractional):
1 Mn 0.000 0.000 0.000
2 Ir 0.119 0.500 0.528
3 Rh 0.265 0.000 0.092
4 S 0.400 0.000 0.613

Record 2
A plane-wave DFT calculation with GGA-PBE was carried out for a relaxed Al8Ir2Pd crystal.

Results
**Energy relative to the elements**: -571 meV per atom
**Offset from the most stable computed form**: 0 meV/atom

Cell: 4.019 7.276 11.617 Å, 90.00 90.00 90.00°
Space group Immm (No. 71)
Symmetry-distinct sites (fractional):
1 Al 0.000 0.000 0.152
2 Al 0.000 0.224 0.339
3 Al 0.000 0.310 0.000
4 Ir 0.000 0.500 0.190
5 Pd 0.000 0.500 0.500

Record 3
A plane-wave DFT calculation with GGA-PBE was carried out for a relaxed CaAlIn2 crystal.

Results
**Energy relative to the elements**: 25 meV per atom

Cell: 4.574 4.574 21.339 Å, 90.00 90.00 90.00°
Space group I-42d (No. 122)
Symmetry-distinct sites (fractional):
1 Ca 0.000 0.000 0.000
2 Al 0.000 0.000 0.500
3 In 0.226 0.250 0.625

Question: What is the formula in the first record?
Answer: MnIrRhS